The following is a DFT calculation (SCAN) of a crystal of YSn2P2 relaxed with PBEsol.

a b c (Å): 3.3726 3.3726 9.7809
angles (deg): 99.93 99.93 90.00
Closest atoms and distances in Å follow each position.
Element x y z (fractional)
P  0.2500  0.7500  0.5000  4 P 2.38
P  0.7500  0.2500  0.5000  4 P 2.38
Sn  0.6151  0.6151  0.2303  4 P 3.06, 4 Y 3.23, 4 Sn 3.37
Sn  0.3849  0.3849  0.7697  4 P 3.06, 4 Y 3.23, 4 Sn 3.37
Y  0.0000  0.0000  0.0000  8 Sn 3.23, 4 Y 3.37

* mass density: 5.98 Mg/m³
* N(E_F): 0.606 states/eV/atom
* SG: I4/mmm
* final energy: -24.0310 eV/atom

***

The following is a DFT calculation (SCAN) of a crystal of ZnSnP2 relaxed with PBEsol.

a b c (Å): 3.9851 3.9851 5.5968
angles (deg): 90.00 90.00 90.00
Closest atoms and distances in Å follow each position.
Element x y z (fractional)
P  0.0000  0.5000  0.2246  2 Zn 2.36, 2 Sn 2.52
P  0.5000  0.0000  0.7754  2 Zn 2.36, 2 Sn 2.52
Zn  0.0000  0.0000  0.0000  4 P 2.36
Sn  0.5000  0.5000  0.5000  4 P 2.52

* mass density: 4.60 Mg/m³
* SG: P-4m2
* final energy: -17.7742 eV/atom

***

The following is a DFT calculation (SCAN) of a crystal of ZnSnP2 relaxed with PBEsol.

a b c (Å): 5.6201 5.6201 6.8942
angles (deg): 114.05 114.05 90.00
Closest atoms and distances in Å follow each position.
Element x y z (fractional)
Zn  0.7500  0.2500  0.5000  4 P 2.36
Zn  0.5000  0.5000  0.0000  4 P 2.36
Sn  0.0000  0.0000  0.0000  4 P 2.52
Sn  0.2500  0.7500  0.5000  4 P 2.52
P  0.6250  0.6009  0.7500  2 Zn 2.36, 2 Sn 2.52
P  0.3991  0.8750  0.2500  2 Zn 2.36, 2 Sn 2.52
P  0.1250  0.1491  0.7500  2 Zn 2.36, 2 Sn 2.52
P  0.8509  0.3750  0.2500  2 Zn 2.36, 2 Sn 2.52

* mass density: 4.59 Mg/m³
* SG: I-42d
* final energy: -17.7764 eV/atom

***

The following is a DFT calculation (SCAN) of a crystal of SrP relaxed with PBEsol.

a b c (Å): 5.9610 7.9985 7.9985
angles (deg): 120.00 90.00 90.00
Closest atoms and distances in Å follow each position.
Element x y z (fractional)
Sr  0.0000  0.6405  0.0000  6 P 3.09-3.15
Sr  0.5000  0.0000  0.3054  6 P 3.01-3.07
Sr  0.0000  0.0000  0.6405  6 P 3.09-3.15
Sr  0.0000  0.3595  0.3595  6 P 3.09-3.15
Sr  0.5000  0.3054  0.0000  6 P 3.01-3.07
Sr  0.5000  0.6946  0.6946  6 P 3.01-3.07
P  0.3067  0.6667  0.3333  1 P 2.30
P  0.6933  0.3333  0.6667  1 P 2.30
P  0.1881  0.0000  0.0000  1 P 2.24
P  0.6933  0.6667  0.3333  1 P 2.30
P  0.8119  0.0000  0.0000  1 P 2.24
P  0.3067  0.3333  0.6667  1 P 2.30

* mass density: 3.58 Mg/m³
* SG: P-62m
* final energy: -17.5547 eV/atom

***

The following is a DFT calculation (SCAN) of a crystal of SrP2 relaxed with PBEsol.

a b c (Å): 4.7802 4.7802 4.7802
angles (deg): 60.00 60.00 60.00
Closest atoms and distances in Å follow each position.
Element x y z (fractional)
P  0.7500  0.7500  0.7500  4 Sr 2.93
P  0.2500  0.2500  0.2500  4 Sr 2.93
Sr  0.0000  0.0000  0.0000  8 P 2.93

* mass density: 3.22 Mg/m³
* N(E_F): 0.618 states/eV/atom
* SG: Fm-3m
* final energy: -14.1386 eV/atom

***

The following is a DFT calculation (SCAN) of a crystal of Sr3P relaxed with PBEsol.

a b c (Å): 4.2941 6.0693 7.4640
angles (deg): 113.99 90.00 90.00
Closest atoms and distances in Å follow each position.
Element x y z (fractional)
P  0.0000  0.0000  0.0000  6 Sr 2.95-3.03
Sr  0.5000  0.1486  0.2971  2 P 2.95
Sr  0.0000  0.5000  0.0000  2 P 3.03
Sr  0.5000  0.8514  0.7029  2 P 2.95

* mass density: 2.75 Mg/m³
* N(E_F): 0.641 states/eV/atom
* SG: Cmmm
* final energy: -19.9834 eV/atom

***

Asked for ΔH_f (0 K) across the records above, the calculation gives 0.328; -0.863; -0.872; -2.436; 0.657; -2.709 eV per formula unit in order.